No. 1
VASP calculation (PBEsol) on a relaxed structure of Ta3BiSe.

Its crystal system is cubic. The value obtained for the energy relative to the elements, uncorrected is 2.4976 eV per atom.

It has space group Pm-3m (No. 221), with a = 5.1083 Å, b = 5.1083 Å, c = 5.1083 Å, α = 90.00°, β = 90.00° and γ = 90.00°. Symmetry generates all atoms from Ta at (0.0000, 0.0000, 0.5000), Bi at (0.0000, 0.0000, 0.0000) and Se at (0.5000, 0.5000, 0.5000).

No. 2
VASP calculation (PBEsol) on a relaxed structure of LiV3O4.

The polymorph energy (0 for the lowest one) is 0.0 meV/atom. Its crystal system is orthorhombic. The value obtained for the energy relative to the elements, uncorrected is -2.0104 eV per atom.

It has space group Cmmm (No. 65), with a = 5.9489 Å, b = 8.1552 Å, c = 2.8547 Å, α = 90.00°, β = 90.00° and γ = 90.00°. Symmetry generates all atoms from Li at (0.0000, 0.0000, 0.0000), V at (0.0000, 0.5000, 0.0000), V at (0.2500, 0.2500, 0.5000), O at (0.0000, 0.2430, 0.0000) and O at (0.2491, 0.5000, 0.5000).

No. 3
VASP calculation (PBEsol) on a relaxed structure of LiRuI3.

Its crystal system is cubic. The value obtained for the energy relative to the elements, uncorrected is 0.7166 eV per atom.

It has space group Pm-3m (No. 221), with a = 5.2533 Å, b = 5.2533 Å, c = 5.2533 Å, α = 90.00°, β = 90.00° and γ = 90.00°. Symmetry generates all atoms from Li at (0.0000, 0.0000, 0.0000), Ru at (0.5000, 0.5000, 0.5000) and I at (0.0000, 0.0000, 0.5000).

No. 4
VASP calculation (PBEsol) on a relaxed structure of LaCd2Pd.

Its calculated formation energy is -0.592 eV/atom. Its crystal system is orthorhombic.

It has space group Cmcm (No. 63), with a = 4.2966 Å, b = 10.0119 Å, c = 8.2996 Å, α = 90.00°, β = 90.00° and γ = 90.00°. Symmetry generates all atoms from La at (0.0000, 0.0647, 0.2500), Cd at (0.0000, 0.3554, 0.0495) and Pd at (0.0000, 0.2192, 0.7500).

No. 5
VASP calculation (PBEsol) on a relaxed structure of CoPRh.

Its calculated formation energy is -0.679 eV/atom. Its crystal system is cubic.

It has space group F-43m (No. 216), with a = 5.3002 Å, b = 5.3002 Å, c = 5.3002 Å, α = 90.00°, β = 90.00° and γ = 90.00°. Symmetry generates all atoms from Co at (0.0000, 0.0000, 0.0000), P at (0.2500, 0.2500, 0.2500) and Rh at (0.0000, 0.0000, 0.5000).

No. 6
VASP calculation (PBEsol) on a relaxed structure of SnPt3.

Its calculated formation energy is -0.394 eV/atom. Its crystal system is cubic.

It has space group Pm-3m (No. 221), with a = 4.0017 Å, b = 4.0017 Å, c = 4.0017 Å, α = 90.00°, β = 90.00° and γ = 90.00°. Symmetry generates all atoms from Sn at (0.0000, 0.0000, 0.0000) and Pt at (0.0000, 0.5000, 0.5000).

No. 7
VASP calculation (PBEsol) on a relaxed structure of CaRePb2.

The polymorph energy (0 for the lowest one) is 78.5 meV/atom. Its calculated formation energy is 0.415 eV/atom. Its crystal system is cubic.

It has space group Fm-3m (No. 225), with a = 6.9846 Å, b = 6.9846 Å, c = 6.9846 Å, α = 90.00°, β = 90.00° and γ = 90.00°. Symmetry generates all atoms from Ca at (0.0000, 0.0000, 0.0000), Re at (0.0000, 0.0000, 0.5000) and Pb at (0.2500, 0.2500, 0.2500).

No. 8
VASP calculation (PBEsol) on a relaxed structure of LaMgCu.

Its calculated formation energy is -0.145 eV/atom. Its crystal system is hexagonal.

It has space group P-62m (No. 189), with a = 7.5874 Å, b = 7.5874 Å, c = 4.0977 Å, α = 90.00°, β = 90.00° and γ = 120.00°. Symmetry generates all atoms from La at (0.0000, 0.5818, 0.0000), Mg at (0.0000, 0.2355, 0.5000), Cu at (0.0000, 0.0000, 0.0000) and Cu at (0.3333, 0.6667, 0.5000).

No. 9
VASP calculation (PBEsol) on a relaxed structure of YNiHg.

Its calculated formation energy is 0.062 eV/atom. Its crystal system is cubic.

It has space group F-43m (No. 216), with a = 6.4740 Å, b = 6.4740 Å, c = 6.4740 Å, α = 90.00°, β = 90.00° and γ = 90.00°. Symmetry generates all atoms from Y at (0.0000, 0.0000, 0.0000), Ni at (0.0000, 0.0000, 0.5000) and Hg at (0.2500, 0.2500, 0.2500).

No. 10
VASP calculation (PBEsol) on a relaxed structure of GaAgP2Se6.

Its crystal system is trigonal. The value obtained for the energy relative to the elements, uncorrected is -0.1932 eV per atom.

It has space group P-31c (No. 163), with a = 6.3220 Å, b = 6.3220 Å, c = 13.4437 Å, α = 90.00°, β = 90.00° and γ = 120.00°. Symmetry generates all atoms from Ga at (0.0000, 0.0000, 0.2500), Ag at (0.3333, 0.6667, 0.2500), P at (0.3333, 0.6667, 0.6668) and Se at (0.0119, 0.3158, 0.6226).

No. 11
VASP calculation (PBEsol) on a relaxed structure of NaCaScZnSi4O12.

Its crystal system is monoclinic. The value obtained for the energy relative to the elements, uncorrected is -2.7926 eV per atom.

It has space group C2 (No. 5), with a = 9.8531 Å, b = 8.9748 Å, c = 5.3056 Å, α = 90.00°, β = 106.22° and γ = 90.00°. Symmetry generates all atoms from Na at (0.0000, 0.0000, 0.0000), Ca at (0.0000, 0.3969, 0.5000), Sc at (0.0000, 0.7975, 0.5000), Zn at (0.0000, 0.6005, 0.0000), Si at (0.2114, 0.1077, 0.5112), Si at (0.2114, 0.2899, 0.0134), O at (0.1166, 0.6109, 0.4013), O at (0.1173, 0.7814, 0.8933), O at (0.1380, 0.4486, 0.9262), O at (0.1410, 0.9466, 0.4378), O at (0.1480, 0.2158, 0.2468) and O at (0.1497, 0.1870, 0.7401).

No. 12
VASP calculation (PBEsol) on a relaxed structure of LaAgSe.

Its crystal system is cubic. The value obtained for the energy relative to the elements, uncorrected is -0.6746 eV per atom.

It has space group F-43m (No. 216), with a = 6.8314 Å, b = 6.8314 Å, c = 6.8314 Å, α = 90.00°, β = 90.00° and γ = 90.00°. Symmetry generates all atoms from La at (0.0000, 0.0000, 0.0000), Ag at (0.0000, 0.0000, 0.5000) and Se at (0.2500, 0.2500, 0.2500).

Record-wise total energy values, in eV for the cell shown: -33.301; -135.901; -13.857; -64.270; -94.815; -26.727; -87.211; -35.501; -53.447; -86.534; -307.102; -58.125
Record-wise total magnetic moment values, in μB/f.u.: 0.0; 1.8; 3.7; 0.0; 0.0; 0.0; 0.0; 0.0; 0.0; 0.0; 0.0; 0.0
Record-wise theoretical density values, in g/cm3: 10.3; 5.4; 5.6; 8.7; 8.6; 18.2; 12.5; 5.5; 8.5; 5.1; 3.5; 6.8